1) Material: CeScH2
Method: DFT, GGA-PBE
State: relaxed

Results
The crystal system is trigonal. The volume comes out at 53 Å³/cell.

abc: 3.238 3.238 6.140
angles: 74.71 74.71 60.00
Site moments in Bohr magnetons follow the coordinates.
Atoms (fractional coordinates):
Ce 0.495 0.495 0.515  0.29
Sc 0.669 0.669 0.993  0.06
H 0.067 0.067 0.800  0.00
H 0.270 0.270 0.191  0.00

---

2) Material: CeScH2
Method: DFT, GGA-PBE
State: relaxed

Results
The crystal system is trigonal. The volume comes out at 54 Å³/cell.

abc: 3.297 3.297 6.026
angles: 74.12 74.12 60.00
Site moments in Bohr magnetons follow the coordinates.
Atoms (fractional coordinates):
Sc 0.000 0.000 0.000  0.08
H 0.735 0.735 0.794  0.00
H 0.265 0.265 0.206  0.00
Ce 0.500 0.500 0.500  0.34

---

Consider the structures shown above. The most stable of them is 2).